1.
Rb2Ag2Cl: relaxed, GGA-PBE.

## Properties
space-group type = I4/mmm, No. 139
energy relative to the elements, uncorrected = -672.4 meV per atom
polymorph energy (0 for the lowest one) = 0 meV per atom
DOS at the Fermi energy = 0.31 states/eV/atom

a = 3.992 Å, b = 3.992 Å, c = 10.288 Å
α = 78.81°, β = 78.81°, γ = 90.00°
Element x y z (fractional)
Ag1 0.250 0.750 0.500
Ag2 0.750 0.250 0.500
Cl1 0.000 0.000 0.000
Rb1 0.402 0.402 0.196
Rb2 0.598 0.598 0.804

=====

2.
Rb3AgCl4: relaxed, GGA-PBE.

## Properties
space-group type = Pmn2_1, No. 31
energy relative to the elements, uncorrected = -1520.2 meV per atom
polymorph energy (0 for the lowest one) = 26 meV per atom
DOS at the Fermi energy = 0.00 states/eV/atom

a = 6.652 Å, b = 8.969 Å, c = 10.834 Å
α = 90.00°, β = 90.00°, γ = 90.00°
Element x y z (fractional)
Cl1 0.571 0.695 0.276
Rb1 0.563 0.868 0.000
Ag1 0.508 0.810 0.500
Cl2 0.107 0.788 0.500
Rb2 0.065 0.670 0.765
Cl3 0.571 0.695 0.724
Cl4 0.071 0.305 0.224
Cl5 0.566 0.108 0.500
Cl6 0.071 0.305 0.776
Rb3 0.565 0.330 0.735
Ag2 0.008 0.190 0.000
Cl7 0.066 0.892 0.000
Rb4 0.063 0.132 0.500
Rb5 0.565 0.330 0.265
Cl8 0.607 0.212 0.000
Rb6 0.065 0.670 0.235

=====

3.
RbAg3Cl6: relaxed, GGA-PBE.

## Properties
space-group type = P1, No. 1
energy relative to the elements, uncorrected = -705.6 meV per atom
DOS at the Fermi energy = 0.19 states/eV/atom

a = 7.259 Å, b = 7.101 Å, c = 7.699 Å
α = 82.77°, β = 123.45°, γ = 117.22°
Element x y z (fractional)
Ag1 0.315 0.654 0.971
Ag2 0.292 0.159 0.473
Cl1 0.367 0.425 0.248
Cl2 0.463 0.482 0.858
Cl3 0.856 0.087 0.267
Cl4 0.205 0.838 0.651
Ag3 0.846 0.407 0.078
Cl5 0.179 0.807 0.120
Rb1 0.737 0.847 0.641
Cl6 0.740 0.295 0.694

=====

4.
Rb3Ag5Cl12: relaxed, GGA-PBE.

## Properties
space-group type = Ia-3d, No. 230
energy relative to the elements, uncorrected = -828.8 meV per atom
DOS at the Fermi energy = 0.78 states/eV/atom

a = 14.635 Å, b = 14.635 Å, c = 14.635 Å
α = 109.47°, β = 109.47°, γ = 109.47°
Element x y z (fractional)
Cl1 0.675 0.486 0.598
Cl2 0.402 0.014 0.325
Cl3 0.175 0.077 0.689
Ag1 0.375 0.250 0.125
Cl4 0.612 0.598 0.923
Cl5 0.311 0.423 0.825
Ag2 0.250 0.375 0.625
Ag3 0.500 0.000 0.500
Cl6 0.423 0.112 0.598
Rb1 0.250 0.625 0.875
Cl7 0.577 0.888 0.402
Cl8 0.612 0.014 0.189
Cl9 0.675 0.189 0.577
Cl10 0.112 0.689 0.514
Cl11 0.388 0.402 0.077
Cl12 0.402 0.388 0.577
Ag4 0.375 0.125 0.750
Cl13 0.577 0.689 0.675
Rb2 0.625 0.375 0.750
Rb3 0.625 0.250 0.375
Ag5 0.500 0.000 0.000
Rb4 0.125 0.875 0.750
Cl14 0.175 0.098 0.986
Ag6 0.125 0.375 0.250
Rb5 0.875 0.125 0.250
Cl15 0.598 0.986 0.675
Rb6 0.750 0.375 0.125
Ag7 0.750 0.125 0.875
Rb7 0.750 0.875 0.625
Ag8 0.000 0.000 0.000
Ag9 0.125 0.750 0.375
Cl16 0.986 0.598 0.175
Cl17 0.486 0.811 0.888
Cl18 0.888 0.577 0.902
Ag10 0.750 0.625 0.375
Cl19 0.902 0.825 0.514
Ag11 0.000 0.500 0.000
Cl20 0.098 0.175 0.486
Rb8 0.375 0.625 0.250
Ag12 0.250 0.875 0.125
Cl21 0.098 0.923 0.112
Cl22 0.077 0.175 0.189
Cl23 0.189 0.675 0.077
Rb9 0.375 0.750 0.625
Cl24 0.888 0.311 0.486
Cl25 0.112 0.423 0.098
Cl26 0.388 0.986 0.811
Ag13 0.875 0.625 0.750
Rb10 0.250 0.125 0.375
Ag14 0.000 0.500 0.500
Cl27 0.514 0.325 0.902
Cl28 0.811 0.325 0.923
Cl29 0.014 0.402 0.825
Cl30 0.689 0.112 0.014
Cl31 0.902 0.077 0.888
Rb11 0.875 0.750 0.125
Cl32 0.598 0.612 0.423
Ag15 0.000 0.000 0.500
Cl33 0.986 0.388 0.311
Cl34 0.486 0.675 0.098
Cl35 0.825 0.923 0.311
Cl36 0.014 0.612 0.689
Cl37 0.325 0.514 0.402
Rb12 0.125 0.250 0.875
Cl38 0.325 0.811 0.423
Ag16 0.875 0.250 0.625
Cl39 0.423 0.311 0.325
Cl40 0.923 0.098 0.612
Cl41 0.811 0.486 0.388
Cl42 0.189 0.514 0.612
Ag17 0.500 0.500 0.000
Cl43 0.689 0.577 0.175
Cl44 0.923 0.825 0.811
Ag18 0.625 0.875 0.250
Cl45 0.825 0.902 0.014
Cl46 0.311 0.888 0.986
Cl47 0.514 0.189 0.112
Cl48 0.077 0.902 0.388
Ag19 0.500 0.500 0.500
Ag20 0.625 0.750 0.875

=====

5.
Rb2AgCl4: relaxed, GGA-PBE.

## Properties
space-group type = P4/mmm, No. 123
energy relative to the elements, uncorrected = -1296.7 meV per atom
polymorph energy (0 for the lowest one) = 0 meV per atom
DOS at the Fermi energy = 0.34 states/eV/atom

a = 4.361 Å, b = 7.535 Å, c = 7.535 Å
α = 90.00°, β = 90.00°, γ = 90.00°
Site moments in Bohr magnetons follow the coordinates.
Element x y z (fractional)
Cl1 0.000 0.232 0.768  0.12
Cl2 0.000 0.768 0.232  0.12
Cl3 0.000 0.232 0.232  0.12
Rb1 0.500 0.500 0.000  0.00
Cl4 0.000 0.768 0.768  0.12
Ag1 0.000 0.000 0.000  0.29
Rb2 0.500 0.000 0.500  0.00

=====

6.
RbAg4Cl5: relaxed, GGA-PBE.

## Properties
space-group type = Pmmn, No. 59
energy relative to the elements, uncorrected = -667.7 meV per atom

a = 6.706 Å, b = 7.783 Å, c = 11.789 Å
α = 90.00°, β = 90.00°, γ = 90.00°
Element x y z (fractional)
Cl1 0.224 0.242 0.176
Ag1 0.584 0.185 0.500
Cl2 0.224 0.758 0.176
Ag2 0.036 0.000 0.691
Cl3 0.776 0.258 0.676
Cl4 0.736 0.500 0.000
Cl5 0.224 0.242 0.824
Ag3 0.584 0.815 0.500
Rb1 0.949 0.000 0.000
Ag4 0.416 0.315 0.000
Cl6 0.264 0.000 0.500
Cl7 0.776 0.258 0.324
Ag5 0.036 0.000 0.309
Ag6 0.416 0.685 0.000
Cl8 0.224 0.758 0.824
Rb2 0.051 0.500 0.500
Ag7 0.964 0.500 0.191
Ag8 0.964 0.500 0.809
Cl9 0.776 0.742 0.676
Cl10 0.776 0.742 0.324

=====

7.
RbAgCl2: relaxed, GGA-PBE.

## Properties
space-group type = Pna2_1, No. 33
energy relative to the elements, uncorrected = -1187.2 meV per atom
DOS at the Fermi energy = 0.00 states/eV/atom

a = 6.646 Å, b = 6.641 Å, c = 11.436 Å
α = 90.00°, β = 90.00°, γ = 90.00°
Element x y z (fractional)
Ag1 0.989 0.046 0.625
Cl1 0.943 0.951 0.840
Cl2 0.893 0.500 0.091
Cl3 0.943 0.451 0.660
Cl4 0.443 0.549 0.340
Cl5 0.443 0.049 0.160
Ag2 0.489 0.954 0.375
Rb1 0.448 0.497 0.625
Cl6 0.393 0.500 0.909
Ag3 0.989 0.546 0.875
Cl7 0.893 0.000 0.409
Rb2 0.448 0.997 0.875
Ag4 0.489 0.454 0.125
Rb3 0.948 0.003 0.125
Rb4 0.948 0.503 0.375
Cl8 0.393 0.000 0.591

=====

8.
Rb2Ag3Cl8: relaxed, GGA-PBE.

## Properties
space-group type = P4/mmm, No. 123
energy relative to the elements, uncorrected = -852.9 meV per atom
polymorph energy (0 for the lowest one) = 0 meV per atom
DOS at the Fermi energy = 0.27 states/eV/atom

a = 5.057 Å, b = 5.057 Å, c = 14.964 Å
α = 90.00°, β = 90.00°, γ = 90.00°
Element x y z (fractional)
Cl1 0.500 0.500 0.165
Rb1 0.000 0.000 0.812
Cl2 0.500 0.000 0.652
Cl3 0.500 0.000 0.000
Ag1 0.500 0.500 0.650
Cl4 0.000 0.500 0.348
Cl5 0.500 0.500 0.835
Cl6 0.000 0.500 0.000
Ag2 0.500 0.500 0.350
Cl7 0.000 0.500 0.652
Rb2 0.000 0.000 0.188
Ag3 0.500 0.500 0.000
Cl8 0.500 0.000 0.348

=====

9.
RbAg2Cl5: relaxed, GGA-PBE.

## Properties
space-group type = I4/mmm, No. 139
energy relative to the elements, uncorrected = -720.4 meV per atom
DOS at the Fermi energy = 0.43 states/eV/atom

a = 4.988 Å, b = 4.988 Å, c = 10.036 Å
α = 104.39°, β = 104.39°, γ = 90.00°
Element x y z (fractional)
Rb1 0.500 0.500 0.000
Ag1 0.858 0.858 0.716
Cl1 0.358 0.858 0.716
Cl2 0.642 0.142 0.284
Ag2 0.142 0.142 0.284
Cl3 0.142 0.642 0.284
Cl4 0.000 0.000 0.000
Cl5 0.858 0.358 0.716

=====

10.
Rb2AgCl6: relaxed, GGA-PBE.

## Properties
space-group type = C2/m, No. 12
energy relative to the elements, uncorrected = -852.7 meV per atom
DOS at the Fermi energy = 0.20 states/eV/atom

a = 5.084 Å, b = 8.355 Å, c = 7.716 Å
α = 122.78°, β = 87.58°, γ = 90.00°
Element x y z (fractional)
Rb1 0.629 0.668 0.335
Cl1 0.862 0.617 0.692
Cl2 0.862 0.075 0.692
Cl3 0.500 0.213 0.000
Cl4 0.138 0.383 0.308
Cl5 0.500 0.787 0.000
Rb2 0.371 0.332 0.665
Cl6 0.138 0.925 0.308
Ag1 0.000 0.000 0.000

=====

11.
Rb2AgCl: relaxed, GGA-PBE.

## Properties
space-group type = I-42d, No. 122
energy relative to the elements, uncorrected = -819.0 meV per atom
polymorph energy (0 for the lowest one) = 68 meV per atom
DOS at the Fermi energy = 0.00 states/eV/atom

a = 8.863 Å, b = 8.863 Å, c = 8.049 Å
α = 56.60°, β = 56.60°, γ = 90.00°
Element x y z (fractional)
Ag1 0.000 0.000 0.000
Rb1 0.160 0.625 0.250
Rb2 0.375 0.410 0.750
Rb3 0.590 0.125 0.250
Cl1 0.250 0.750 0.500
Cl2 0.500 0.500 0.000
Rb4 0.875 0.840 0.750
Ag2 0.750 0.250 0.500

=====

12.
Rb2AgCl4: relaxed, GGA-PBE.

## Properties
space-group type = I4/mmm, No. 139
energy relative to the elements, uncorrected = -1289.9 meV per atom
polymorph energy (0 for the lowest one) = 7 meV per atom
DOS at the Fermi energy = 0.65 states/eV/atom

a = 5.116 Å, b = 5.116 Å, c = 9.085 Å
α = 73.65°, β = 73.65°, γ = 90.00°
Element x y z (fractional)
Cl1 0.160 0.160 0.681
Rb1 0.642 0.642 0.717
Cl2 0.000 0.500 0.000
Rb2 0.358 0.358 0.283
Ag1 0.000 0.000 0.000
Cl3 0.500 0.000 0.000
Cl4 0.840 0.840 0.319

=====

13.
RbReAg2Cl8: relaxed, GGA-PBE.

## Properties
space-group type = P-1, No. 2
energy relative to the elements, uncorrected = -768.3 meV per atom
DOS at the Fermi energy = 0.74 states/eV/atom

a = 6.252 Å, b = 7.088 Å, c = 9.469 Å
α = 63.38°, β = 87.72°, γ = 95.52°
Site moments in Bohr magnetons follow the coordinates.
Element x y z (fractional)
Re1 0.000 0.000 0.000  1.67
Cl1 0.510 0.266 0.450  -0.05
Ag1 0.501 0.673 0.308  -0.05
Cl2 0.923 0.257 0.748  0.03
Ag2 0.499 0.327 0.692  -0.05
Cl3 0.331 0.204 0.973  0.01
Cl4 0.669 0.796 0.027  0.01
Cl5 0.160 0.818 0.880  0.06
Rb1 0.000 0.000 0.500  0.00
Cl6 0.840 0.182 0.120  0.06
Cl7 0.077 0.743 0.252  0.03
Cl8 0.490 0.734 0.550  -0.05

=====

14.
RbReAgCl6: relaxed, GGA-PBE.

## Properties
space-group type = P-31c, No. 163
energy relative to the elements, uncorrected = -902.8 meV per atom

a = 6.929 Å, b = 6.929 Å, c = 13.865 Å
α = 90.00°, β = 90.00°, γ = 120.00°
Site moments in Bohr magnetons follow the coordinates.
Element x y z (fractional)
Cl1 0.045 0.650 0.849  0.05
Cl2 0.350 0.395 0.849  0.05
Cl3 0.045 0.395 0.651  0.05
Cl4 0.395 0.350 0.349  0.05
Cl5 0.350 0.955 0.651  0.05
Rb1 0.000 0.000 0.000  0.00
Cl6 0.395 0.045 0.151  0.05
Ag1 0.667 0.333 0.750  0.03
Cl7 0.955 0.605 0.349  0.05
Cl8 0.605 0.955 0.849  0.05
Cl9 0.650 0.605 0.151  0.05
Cl10 0.650 0.045 0.349  0.05
Cl11 0.955 0.350 0.151  0.05
Re1 0.667 0.333 0.250  2.21
Cl12 0.605 0.650 0.651  0.05
Ag2 0.333 0.667 0.250  0.03
Re2 0.333 0.667 0.750  2.21
Rb2 0.000 0.000 0.500  0.00

=====

15.
Rb3Ag2RhCl9: relaxed, GGA-PBE.

## Properties
space-group type = P-3m1, No. 164
energy relative to the elements, uncorrected = -1090.0 meV per atom
DOS at the Fermi energy = 1.03 states/eV/atom

a = 7.253 Å, b = 7.253 Å, c = 8.866 Å
α = 90.00°, β = 90.00°, γ = 120.00°
Site moments in Bohr magnetons follow the coordinates.
Element x y z (fractional)
Cl1 0.688 0.844 0.345  0.01
Cl2 0.500 0.000 0.000  0.01
Cl3 0.156 0.312 0.345  0.01
Ag1 0.667 0.333 0.832  0.01
Cl4 0.156 0.844 0.345  0.01
Cl5 0.000 0.500 0.000  0.01
Rb1 0.667 0.333 0.325  0.00
Rh1 0.000 0.000 0.500  0.27
Cl6 0.500 0.500 0.000  0.01
Cl7 0.844 0.156 0.655  0.01
Cl8 0.312 0.156 0.655  0.01
Rb2 0.000 0.000 0.000  0.00
Cl9 0.844 0.688 0.655  0.01
Rb3 0.333 0.667 0.675  0.00
Ag2 0.333 0.667 0.168  0.01

=====

16.
RbAg2RhCl6: relaxed, GGA-PBE.

## Properties
space-group type = P1, No. 1
energy relative to the elements, uncorrected = -785.9 meV per atom

a = 7.017 Å, b = 7.005 Å, c = 7.442 Å
α = 61.76°, β = 61.67°, γ = 59.87°
Element x y z (fractional)
Rb1 0.809 0.809 0.571
Cl1 0.271 0.963 0.231
Cl2 0.692 0.165 0.788
Rh1 0.327 0.327 0.019
Cl3 0.164 0.356 0.790
Ag1 0.008 0.012 0.969
Cl4 0.354 0.692 0.792
Cl5 0.964 0.532 0.233
Cl6 0.535 0.269 0.231
Ag2 0.537 0.535 0.391

=====

17.
Rb2AgRuCl6: relaxed, GGA-PBE.

## Properties
space-group type = R-3m, No. 166
energy relative to the elements, uncorrected = -1080.5 meV per atom
DOS at the Fermi energy = 0.98 states/eV/atom

a = 7.182 Å, b = 7.182 Å, c = 13.176 Å
α = 74.18°, β = 74.18°, γ = 60.00°
Site moments in Bohr magnetons follow the coordinates.
Element x y z (fractional)
Cl1 0.725 0.194 0.888  0.02
Ag1 0.412 0.412 0.764  0.00
Cl2 0.620 0.148 0.611  0.02
Cl3 0.806 0.275 0.112  0.02
Cl4 0.620 0.620 0.611  0.02
Cl5 0.194 0.194 0.888  0.02
Cl6 0.852 0.380 0.389  0.02
Ag2 0.588 0.588 0.236  0.00
Cl7 0.806 0.806 0.112  0.02
Rb1 0.297 0.297 0.108  0.00
Rb2 0.126 0.126 0.621  0.00
Ru1 0.000 0.000 0.000  0.83
Cl8 0.380 0.852 0.389  0.02
Ru2 0.500 0.500 0.500  0.76
Rb3 0.874 0.874 0.379  0.00
Cl9 0.380 0.380 0.389  0.02
Cl10 0.275 0.806 0.112  0.02
Cl11 0.194 0.725 0.888  0.02
Rb4 0.703 0.703 0.892  0.00
Cl12 0.148 0.620 0.611  0.02

=====

18.
Rb2AgSCl: relaxed, GGA-PBE.

## Properties
space-group type = P4/mmm, No. 123
energy relative to the elements, uncorrected = -1018.5 meV per atom

a = 6.428 Å, b = 6.428 Å, c = 4.662 Å
α = 90.00°, β = 90.00°, γ = 90.00°
Element x y z (fractional)
S1 0.000 0.000 0.000
Rb1 0.000 0.500 0.000
Cl1 0.500 0.500 0.500
Rb2 0.500 0.000 0.000
Ag1 0.000 0.000 0.500